# PrTl2Pt

An optimized crystal structure of PrTl2Pt (GGA-PBE, the Alexandria database).

Cell: 10.436 10.436 10.436 Å, 20.22 20.22 20.22°
Positions (direct):
Pr: 0.000 0.000 0.000
Tl: 0.105 0.105 0.105
Tl: 0.895 0.895 0.895
Pt: 0.500 0.500 0.500

Output
symmetry: R-3m (166)
raw total energy: -3.779 eV/atom
density of states at the Fermi level: 0.68 states/eV/atom
ρ: 10.41 g/cm³
formation enthalpy at 0 K: 110 meV/atom